Record 1
The following is a PBE calculation of SrCu7F12 after structural relaxation, from Alexandria.

Properties
**Crystal system**: cubic
**Raw formation energy**: -1675 meV/atom
**Space-group type**: Im-3

Cell lengths 6.8560, 6.8560, 6.8560 Å; angles 109.47, 109.47, 109.47 degrees
Last column: nearest neighbours and their distance in Å.
Element x y z (fractional)
Cu: 0.5000 0.0000 0.5000  4 F 2.05
F: 0.8319 0.1341 0.3022  3 Cu 2.05-2.12
F: 0.4703 0.3022 0.1681  3 Cu 2.05-2.12
Cu: 0.0000 0.5000 0.5000  4 F 2.05
F: 0.1681 0.8659 0.6978  3 Cu 2.05-2.12
F: 0.5297 0.6978 0.8319  3 Cu 2.05-2.12
F: 0.1681 0.4703 0.3022  3 Cu 2.05-2.12
F: 0.3022 0.1681 0.4703  3 Cu 2.05-2.12
F: 0.6978 0.8319 0.5297  3 Cu 2.05-2.12
Cu: 0.5000 0.5000 0.0000  4 F 2.05
F: 0.1341 0.3022 0.8319  3 Cu 2.05-2.12
F: 0.6978 0.1681 0.8659  3 Cu 2.05-2.12
Cu: 0.0000 0.0000 0.5000  6 F 2.12
Sr: 0.0000 0.0000 0.0000  12 F 2.74
F: 0.8659 0.6978 0.1681  3 Cu 2.05-2.12
Cu: 0.5000 0.5000 0.5000  6 F 2.12
F: 0.3022 0.8319 0.1341  3 Cu 2.05-2.12
F: 0.8319 0.5297 0.6978  3 Cu 2.05-2.12
Cu: 0.5000 0.0000 0.0000  6 F 2.12
Cu: 0.0000 0.5000 0.0000  6 F 2.12



Record 2
The following is a PBE calculation of SrCuF4 after structural relaxation, from Alexandria.

Properties
**Crystal system**: tetragonal
**Raw formation energy**: -2761 meV/atom
**Space-group type**: I4/mcm

Cell lengths 6.7158, 6.7158, 6.7158 Å; angles 129.29, 129.29, 74.54 degrees
Last column: nearest neighbours and their distance in Å.
Element x y z (fractional)
F: 0.9558 0.4558 0.1619  1 Cu 1.92
Cu: 0.0000 0.5000 0.5000  4 F 1.92
Cu: 0.5000 0.0000 0.5000  4 F 1.92
F: 0.2939 0.7939 0.8381  1 Cu 1.92
F: 0.0442 0.5442 0.8381  1 Cu 1.92
F: 0.7061 0.2061 0.1619  1 Cu 1.92
F: 0.2061 0.0442 0.5000  1 Cu 1.92
F: 0.4558 0.2939 0.5000  1 Cu 1.92
Sr: 0.7500 0.7500 0.0000  8 F 2.52
Sr: 0.2500 0.2500 0.0000  8 F 2.52
F: 0.5442 0.7061 0.5000  1 Cu 1.92
F: 0.7939 0.9558 0.5000  1 Cu 1.92



Record 3
The following is a PBE calculation of SrCuTeF after structural relaxation, from Alexandria.

Properties
**Crystal system**: tetragonal
**Raw formation energy**: -1919 meV/atom
**Space-group type**: P4/nmm

Cell lengths 4.2650, 4.2650, 9.2681 Å; angles 90.00, 90.00, 90.00 degrees
Last column: nearest neighbours and their distance in Å.
Element x y z (fractional)
F: 0.2500 0.7500 0.5000  4 Sr 2.53
Sr: 0.2500 0.2500 0.3524  4 F 2.53
Cu: 0.2500 0.7500 0.0000  4 Te 2.67
Te: 0.2500 0.2500 0.8259  4 Cu 2.67
Cu: 0.7500 0.2500 0.0000  4 Te 2.67
F: 0.7500 0.2500 0.5000  4 Sr 2.53
Sr: 0.7500 0.7500 0.6476  4 F 2.53
Te: 0.7500 0.7500 0.1741  4 Cu 2.67